LaTlFeOs2 at its PBEsol-relaxed geometry. Source: Alexandria, functional SCAN.

## Properties
mass density = 12975 kg/m3
M_tot = 0.0 μB/f.u.
final energy = -273.42 eV/f.u.
ΔH_f (0 K) = 0.787 eV per atom

abc: 4.573 4.573 4.771
angles: 90.00 90.00 90.00
Fractional coordinates of all 5 atoms:
1 La 0.500 0.500 0.500
2 Os 0.000 0.500 0.000
3 Os 0.500 0.000 0.000
4 Tl 0.000 0.000 0.500
5 Fe 0.000 0.000 0.000


Cd3Pd at its PBEsol-relaxed geometry. Source: Alexandria, functional SCAN.

## Properties
mass density = 10256 kg/m3
M_tot = 0.0 μB/f.u.
final energy = -124.97 eV/f.u.
ΔH_f (0 K) = -0.238 eV per atom

abc: 4.157 4.157 4.157
angles: 90.00 90.00 90.00
Fractional coordinates of all 4 atoms:
1 Cd 0.500 0.500 0.000
2 Cd 0.500 0.000 0.500
3 Cd 0.000 0.500 0.500
4 Pd 0.000 0.000 0.000


NaLa3Fe at its PBEsol-relaxed geometry. Source: Alexandria, functional SCAN.

## Properties
mass density = 5390 kg/m3
M_tot = 0.1 μB/f.u.
final energy = -150.88 eV/f.u.
ΔH_f (0 K) = 0.156 eV per atom

abc: 5.345 5.345 5.345
angles: 90.00 90.00 90.00
Fractional coordinates of all 5 atoms:
1 La 0.000 0.500 0.000
2 La 0.000 0.000 0.500
3 La 0.500 0.000 0.000
4 Na 0.500 0.500 0.500
5 Fe 0.000 0.000 0.000


Question: The lowest mass density belongs to which entry?
Answer: NaLa3Fe


Question: Look up the mass density of the first one.
Answer: 12975 kg/m3


Question: Which formula does entry 3 have?
Answer: NaLa3Fe


Question: The lowest mass density belongs to which entry?
Answer: NaLa3Fe